Zn3BrO3 | the Alexandria database | PBE-GGA | optimized geometry; energy relative to the lowest polymorph listed for this composition = 0.00 kcal/mol of atoms; ΔE_f (raw) = -1.020 eV per atom; SG = R-3
1.0
-3.995 -0.908 4.040
-1.109 -5.352 1.797
4.464 -1.254 8.229
Br O Zn
2 6 6
Direct
0.667 0.667 0.000
0.333 0.333 0.000
0.878 0.547 0.366
0.209 0.878 0.366
0.791 0.122 0.634
0.547 0.209 0.366
0.453 0.791 0.634
0.122 0.453 0.634
0.120 0.785 0.638
0.457 0.120 0.638
0.543 0.880 0.362
0.215 0.543 0.362
0.785 0.457 0.638
0.880 0.215 0.362

Zn2PtPb | the Alexandria database | PBE-GGA | optimized geometry; SG = I-42d; formation enthalpy at 0 K = -0.02 eV/atom
1.0
-0.109 2.314 -3.568
-4.008 -1.247 -0.687
-5.100 7.697 2.611
Zn Pt Pb
4 2 2
Direct
0.205 0.625 0.250
0.545 0.125 0.250
0.875 0.795 0.750
0.375 0.455 0.750
0.500 0.500 0.000
0.250 0.750 0.500
0.000 0.000 0.000
0.750 0.250 0.500

M_tot for every record listed, in sequence, given in μB per formula unit: 0.00; 0.00.